The following is a DFT calculation (PBE) of Nd3Ag2Au after structural relaxation.

Computed properties:
Its volume is 26.2 A^3/atom. The space group is No. 123. Its formation energy is -0.43 eV/atom. The magnetic moment is 0.0 μB/f.u. The theoretical density is 8.93 Mg/m³.

Cell and atoms, written as CIF:
```
data_Nd3Ag2Au
_chemical_formula_sum 'Nd3 Ag2 Au1'
_cell_length_a 3.733
_cell_length_b 3.733
_cell_length_c 11.286
_cell_angle_alpha 90.00
_cell_angle_beta 90.00
_cell_angle_gamma 90.00
_space_group_name_H-M_alt 'P 1'
_space_group_IT_number 1
loop_
_space_group_symop_operation_xyz
'x,y,z'
loop_
_atom_site_label
_atom_site_type_symbol
_atom_site_fract_x
_atom_site_fract_y
_atom_site_fract_z
Nd1 Nd 0.000 0.000 0.000
Nd2 Nd 0.000 0.000 0.338
Nd3 Nd 0.000 0.000 0.662
Ag1 Ag 0.500 0.500 0.166
Ag2 Ag 0.500 0.500 0.834
Au1 Au 0.500 0.500 0.500
```